Compound: NdScBeAl
Source: Alexandria via LeMat-Bulk
Functional: GGA-PBE
Structure: relaxed

Unit cell a=4.919 b=4.919 c=4.919 alpha=60.00 beta=60.00 gamma=60.00
Fractional positions:
Nd1 0.000 0.000 0.000
Sc1 0.500 0.500 0.500
Be1 0.750 0.750 0.750
Al1 0.250 0.250 0.250

total DFT energy (no corrections): -4.7440 eV per atom
ΔE_f: -0.102 eV per atom
M_tot: 0.00 μB per atom

Compound: Nd2Be4AlSi3
Source: Alexandria via LeMat-Bulk
Functional: GGA-PBE
Structure: relaxed

Unit cell a=3.981 b=3.981 c=9.798 alpha=90.00 beta=90.00 gamma=90.00
Fractional positions:
Nd1 0.000 0.500 0.244
Nd2 0.500 0.000 0.756
Be1 0.000 0.000 0.000
Be2 0.000 0.500 0.638
Be3 0.500 0.000 0.362
Be4 0.500 0.500 0.000
Al1 0.000 0.000 0.500
Si1 0.000 0.500 0.873
Si2 0.500 0.000 0.127
Si3 0.500 0.500 0.500

total DFT energy (no corrections): -4.8160 eV per atom
ΔE_f (raw): -8.55 kcal/mol of atoms
M_tot: 0.00 μB per atom

Compound: NdTmBeAl
Source: Alexandria via LeMat-Bulk
Functional: GGA-PBE
Structure: relaxed

Unit cell a=5.038 b=5.038 c=5.038 alpha=60.00 beta=60.00 gamma=60.00
Fractional positions:
Nd1 0.000 0.000 0.000
Tm1 0.500 0.500 0.500
Be1 0.750 0.750 0.750
Al1 0.250 0.250 0.250

total DFT energy (no corrections): -4.2626 eV per atom
ΔE_f: -0.086 eV per atom
M_tot: 0.00 μB per atom

Compound: BeAl2Ni2
Source: Alexandria via LeMat-Bulk
Functional: GGA-PBE
Structure: relaxed

Unit cell a=5.641 b=5.641 c=3.797 alpha=90.00 beta=90.00 gamma=90.00
Fractional positions:
Be1 0.000 0.000 0.000
Be2 0.500 0.500 0.000
Al1 0.165 0.335 0.500
Al2 0.335 0.835 0.500
Al3 0.665 0.165 0.500
Al4 0.835 0.665 0.500
Ni1 0.151 0.651 0.000
Ni2 0.349 0.151 0.000
Ni3 0.651 0.849 0.000
Ni4 0.849 0.349 0.000

total DFT energy (no corrections): -4.9484 eV per atom
ΔE_f: -0.394 eV per atom
M_tot: 0.00 μB per atom

Compound: BeAl3Ni
Source: Alexandria via LeMat-Bulk
Functional: GGA-PBE
Structure: relaxed

Unit cell a=4.446 b=4.446 c=4.446 alpha=90.00 beta=90.00 gamma=90.00
Fractional positions:
Be1 0.000 0.000 0.000
Al1 0.000 0.500 0.500
Al2 0.500 0.000 0.500
Al3 0.500 0.500 0.000
Ni1 0.500 0.500 0.500

total DFT energy (no corrections): -3.8187 eV per atom
ΔE_f: 0.328 eV per atom
M_tot: 0.00 μB per atom

Compound: Be2AlNi
Source: Alexandria via LeMat-Bulk
Functional: GGA-PBE
Structure: relaxed

Unit cell a=2.762 b=2.762 c=5.405 alpha=90.00 beta=90.00 gamma=90.00
Fractional positions:
Be1 0.000 0.000 0.000
Be2 0.500 0.500 0.203
Al1 0.500 0.500 0.703
Ni1 0.000 0.000 0.424

total DFT energy (no corrections): -4.4696 eV per atom
ΔE_f: -0.226 eV per atom
M_tot: 0.00 μB per atom

Compound: Be2Al5Ni12
Source: Alexandria via LeMat-Bulk
Functional: GGA-PBE
Structure: relaxed

Unit cell a=6.398 b=6.398 c=5.831 alpha=92.08 beta=92.08 gamma=66.01
Fractional positions:
Be1 0.230 0.770 0.000
Be2 0.770 0.230 0.000
Al1 0.187 0.187 0.954
Al2 0.252 0.252 0.421
Al3 0.500 0.500 0.500
Al4 0.748 0.748 0.579
Al5 0.813 0.813 0.046
Ni1 0.047 0.047 0.259
Ni2 0.099 0.682 0.368
Ni3 0.165 0.530 0.759
Ni4 0.318 0.901 0.632
Ni5 0.405 0.405 0.114
Ni6 0.470 0.835 0.241
Ni7 0.530 0.165 0.759
Ni8 0.595 0.595 0.886
Ni9 0.682 0.099 0.368
Ni10 0.835 0.470 0.241
Ni11 0.901 0.318 0.632
Ni12 0.953 0.953 0.741

total DFT energy (no corrections): -5.3834 eV per atom
ΔE_f: -0.355 eV per atom
M_tot: 0.00 μB per atom

Compound: Be4AlNi5
Source: Alexandria via LeMat-Bulk
Functional: GGA-PBE
Structure: relaxed

Unit cell a=2.635 b=2.635 c=13.763 alpha=90.00 beta=90.00 gamma=90.00
Fractional positions:
Be1 0.000 0.000 0.094
Be2 0.000 0.000 0.283
Be3 0.000 0.000 0.717
Be4 0.000 0.000 0.906
Al1 0.000 0.000 0.500
Ni1 0.500 0.500 0.000
Ni2 0.500 0.500 0.188
Ni3 0.500 0.500 0.378
Ni4 0.500 0.500 0.622
Ni5 0.500 0.500 0.812

total DFT energy (no corrections): -5.2496 eV per atom
ΔE_f: -0.494 eV per atom
M_tot: 0.00 μB per atom

Compound: BeAl3Ni6
Source: Alexandria via LeMat-Bulk
Functional: GGA-PBE
Structure: relaxed

Unit cell a=6.732 b=4.069 c=8.758 alpha=90.00 beta=110.68 gamma=90.00
Fractional positions:
Be1 0.042 0.250 0.416
Be2 0.958 0.750 0.584
Al1 0.219 0.250 0.010
Al2 0.363 0.750 0.783
Al3 0.462 0.250 0.614
Al4 0.538 0.750 0.386
Al5 0.637 0.250 0.217
Al6 0.781 0.750 0.990
Ni1 0.059 0.750 0.860
Ni2 0.142 0.250 0.693
Ni3 0.153 0.750 0.179
Ni4 0.239 0.750 0.490
Ni5 0.325 0.250 0.320
Ni6 0.457 0.750 0.079
Ni7 0.543 0.250 0.921
Ni8 0.675 0.750 0.680
Ni9 0.761 0.250 0.510
Ni10 0.847 0.250 0.821
Ni11 0.858 0.750 0.307
Ni12 0.941 0.250 0.140

total DFT energy (no corrections): -5.4607 eV per atom
ΔE_f: -0.496 eV per atom
M_tot: 0.00 μB per atom

Compound: BeAlNi2
Source: Alexandria via LeMat-Bulk
Functional: GGA-PBE
Structure: relaxed

Unit cell a=4.505 b=4.505 c=3.969 alpha=108.81 beta=108.81 gamma=34.60
Fractional positions:
Be1 0.000 0.000 0.000
Al1 0.756 0.756 0.347
Ni1 0.275 0.275 0.867
Ni2 0.508 0.508 0.519

total DFT energy (no corrections): -5.1792 eV per atom
ΔE_f: -0.421 eV per atom
M_tot: 0.00 μB per atom

Compound: BeAlNi2
Source: Alexandria via LeMat-Bulk
Functional: GGA-PBE
Structure: relaxed

Unit cell a=2.697 b=2.697 c=5.795 alpha=90.00 beta=90.00 gamma=90.00
Fractional positions:
Be1 0.000 0.000 0.000
Al1 0.000 0.000 0.500
Ni1 0.500 0.500 0.223
Ni2 0.500 0.500 0.777

total DFT energy (no corrections): -5.2828 eV per atom
ΔE_f: -0.525 eV per atom
M_tot: 0.00 μB per atom

Compound: BeAlNi
Source: Alexandria via LeMat-Bulk
Functional: GGA-PBE
Structure: relaxed

Unit cell a=4.504 b=4.504 c=4.504 alpha=121.70 beta=115.98 gamma=92.09
Fractional positions:
Be1 0.500 0.000 0.000
Be2 0.500 0.500 0.500
Al1 0.125 0.375 0.750
Al2 0.875 0.625 0.250
Ni1 0.000 0.000 0.000
Ni2 0.500 0.000 0.500

total DFT energy (no corrections): -4.8703 eV per atom
ΔE_f: -0.454 eV per atom
M_tot: 0.00 μB per atom